First-principles (PBE-GGA) data for a relaxed Ac3Sc5F12 crystal, as listed in the Alexandria database.

Its total energy is -0.2253 Ha/atom. The value obtained for the raw formation energy is -56.15 eV/f.u. The density of states at the Fermi level comes out at 111.11 states/eV/cell. The size of the total moment is 30.7 μB/cell.

The space group is Ia-3d (No. 230) and the conventional cell measures 14.145, 14.145 and 14.145 Å, with angles of 90.00, 90.00 and 90.00 degrees. Symmetry generates all atoms from Ac at (0.000, 0.250, 0.125), Sc at (0.000, 0.000, 0.000), Sc at (0.000, 0.250, 0.375) and F at (0.007, 0.067, 0.643).